A plane-wave DFT calculation with PBE-GGA was carried out for CuGeI3 after structural relaxation.

Its formation energy from raw total energies is 0.30 eV/atom. Its energy relative to the lowest polymorph listed for this composition is 369 meV/atom.

Unit cell a=5.3945 b=5.3945 c=5.3945 alpha=90.00 beta=90.00 gamma=90.00
Closest atoms and distances in Å follow each position.
Element x y z (fractional)
I1 0.0000 0.5000 0.0000  2 Cu 2.70
I2 0.0000 0.0000 0.5000  2 Cu 2.70
I3 0.5000 0.0000 0.0000  2 Cu 2.70
Ge1 0.5000 0.5000 0.5000  12 I 3.81
Cu1 0.0000 0.0000 0.0000  6 I 2.70

A plane-wave DFT calculation with PBE-GGA was carried out for Y3Ho2Er4 after structural relaxation.

Unit cell a=6.0999 b=11.1853 c=11.1853 alpha=61.89 beta=61.93 gamma=61.93
Closest atoms and distances in Å follow each position.
Element x y z (fractional)
Y1 0.7520 0.0688 0.2641  6 Er 3.36-3.47, 2 Ho 3.45-3.46
Y2 0.7480 0.7359 0.9312  6 Er 3.36-3.47, 2 Ho 3.45-3.46
Y3 0.2480 0.9312 0.7359  6 Er 3.36-3.47, 2 Ho 3.45-3.46
Y4 0.2520 0.2641 0.0688  6 Er 3.36-3.47, 2 Ho 3.45-3.46
Y5 0.2500 0.5976 0.4024  4 Ho 3.37-3.46, 4 Er 3.45-3.47
Y6 0.7500 0.4024 0.5976  4 Ho 3.37-3.46, 4 Er 3.45-3.47
Ho1 0.4220 0.2375 0.5212  4 Er 3.26-3.58, 4 Y 3.37-3.46
Ho2 0.0780 0.4788 0.7625  4 Er 3.26-3.58, 4 Y 3.37-3.46
Ho3 0.5780 0.7625 0.4788  4 Er 3.26-3.58, 4 Y 3.37-3.46
Ho4 0.9220 0.5212 0.2375  4 Er 3.26-3.58, 4 Y 3.37-3.46
Er1 0.4219 0.9049 0.1878  1 Ho 3.26, 4 Y 3.37-3.46, 3 Er 3.37-3.58
Er2 0.0781 0.8122 0.0951  1 Ho 3.26, 4 Y 3.37-3.46, 3 Er 3.37-3.58
Er3 0.5781 0.0951 0.8122  1 Ho 3.26, 4 Y 3.37-3.46, 3 Er 3.37-3.58
Er4 0.9219 0.1878 0.9049  1 Ho 3.26, 4 Y 3.37-3.46, 3 Er 3.37-3.58
Er5 0.0790 0.1454 0.4277  1 Er 3.26, 4 Y 3.36-3.47, 3 Ho 3.38-3.58
Er6 0.4210 0.5723 0.8546  1 Er 3.26, 4 Y 3.36-3.47, 3 Ho 3.38-3.58
Er7 0.9210 0.8546 0.5723  1 Er 3.26, 4 Y 3.36-3.47, 3 Ho 3.38-3.58
Er8 0.5790 0.4277 0.1454  1 Er 3.26, 4 Y 3.36-3.47, 3 Ho 3.38-3.58

| no. | total DFT energy (no corrections) (eV per atom) |
| --- | --- |
| 1 | -2.371 |
| 2 | -5.096 |